Below is a relaxed structure of NaBeB2, with properties calculated at the PBE level.

Structure (extended XYZ):
```
8
Lattice="3.5368 0.0000 0.0000 0.0000 3.5368 0.0000 1.7684 1.7684 6.8894" Properties=species:S:1:pos:R:3 pbc="T T T"
Be 1.7684 1.7684 0.0000
Be 1.7684 3.5368 3.4447
Na 0.0000 0.0000 0.0000
Na 3.5368 1.7684 3.4447
B 4.4210 3.5368 5.1670
B 1.7684 0.8842 1.7223
B 2.6526 3.5368 5.1670
B 1.7684 2.6526 1.7223
```

Below is a relaxed structure of Ca2Co2P, with properties calculated at the PBE level.

Structure (extended XYZ):
```
10
Lattice="6.2069 0.0000 0.0000 0.0000 6.2069 0.0000 0.0000 0.0000 4.4877" Properties=species:S:1:pos:R:3 pbc="T T T"
Ca 4.2138 5.0966 2.2438
Ca 5.0966 1.9931 2.2438
Ca 1.9931 1.1104 2.2438
Ca 1.1104 4.2138 2.2438
Co 0.8530 2.2505 0.0000
Co 5.3539 3.9564 0.0000
Co 2.2505 5.3539 0.0000
Co 3.9564 0.8530 0.0000
P 0.0000 0.0000 0.0000
P 3.1035 3.1035 0.0000
```

## Properties
E above lowest polymorph: 20 meV/atom

Below is a relaxed structure of YBe2AlPd5, with properties calculated at the PBE level.

Structure (extended XYZ):
```
9
Lattice="4.3843 0.0000 0.0000 0.0000 4.3843 0.0000 0.0000 0.0000 7.0913" Properties=species:S:1:pos:R:3 pbc="T T T"
Y 0.0000 0.0000 3.5456
Be 2.1921 2.1921 1.1410
Be 2.1921 2.1921 5.9503
Al 0.0000 0.0000 0.0000
Pd 0.0000 2.1921 1.4905
Pd 2.1921 0.0000 5.6008
Pd 0.0000 2.1921 5.6008
Pd 2.1921 2.1921 3.5456
Pd 2.1921 0.0000 1.4905
```

What are the calculated total energy values for these records? In order: -32.1; -48.7; -49.2 eV for the cell shown.
What are the spin magnetization values for these records? In order: 0.0; 3.0; 0.0 μB per cell.